(1)
# Nd2Al4CuIr3 (PBE, optimized geometry)
# VASP energy, eV per atom: -6.26
# E_form, meV/atom: -741
data_Nd2Al4CuIr3
_chemical_formula_sum 'Nd2 Al4 Cu1 Ir3'
_cell_length_a 4.230
_cell_length_b 4.230
_cell_length_c 10.444
_cell_angle_alpha 90.00
_cell_angle_beta 90.00
_cell_angle_gamma 90.00
_symmetry_space_group_name_H-M 'P -4 m 2'
_symmetry_Int_Tables_number 115
loop_
_symmetry_equiv_pos_as_xyz
'x,y,z'
'y,-x,-z'
'-x,-y,z'
'-y,x,-z'
'-x,y,z'
'-y,-x,-z'
'x,-y,z'
'y,x,-z'
loop_
_atom_site_label
_atom_site_fract_x
_atom_site_fract_y
_atom_site_fract_z
Nd1 0.000 0.500 0.247
Al1 0.000 0.000 0.500
Al2 0.000 0.500 0.877
Al3 0.500 0.500 0.500
Cu1 0.500 0.500 0.000
Ir1 0.000 0.000 0.000
Ir2 0.000 0.500 0.635


(2)
# RbNaScF5 (PBE, optimized geometry)
# E_form (uncorrected), eV/atom: -3.406
# VASP energy, eV per atom: -5.65
data_RbNaScF5
_chemical_formula_sum 'Rb4 Na4 Sc4 F20'
_cell_length_a 7.158
_cell_length_b 10.512
_cell_length_c 8.000
_cell_angle_alpha 90.00
_cell_angle_beta 108.39
_cell_angle_gamma 90.00
_symmetry_space_group_name_H-M 'C 1 2/c 1'
_symmetry_Int_Tables_number 15
loop_
_symmetry_equiv_pos_as_xyz
'x,y,z'
'-x,-y,-z'
'-x,y,-z+1/2'
'x,-y,z+1/2'
'x+1/2,y+1/2,z'
'-x+1/2,-y+1/2,-z'
'-x+1/2,y+1/2,-z+1/2'
'x+1/2,-y+1/2,z+1/2'
loop_
_atom_site_label
_atom_site_fract_x
_atom_site_fract_y
_atom_site_fract_z
Rb1 0.000 0.167 0.250
Na1 0.000 0.181 0.750
Sc1 0.000 0.500 0.000
F1 0.000 0.449 0.250
F2 0.084 0.319 0.579
F3 0.214 0.052 0.935


(3)
# Sm2Ta2Ge2C (PBE, optimized geometry)
# VASP energy, eV per atom: -7.99
# E_form, meV/atom: -618
data_Sm2Ta2Ge2C
_chemical_formula_sum 'Sm4 Ta4 Ge4 C2'
_cell_length_a 4.272
_cell_length_b 4.272
_cell_length_c 15.483
_cell_angle_alpha 90.00
_cell_angle_beta 90.00
_cell_angle_gamma 90.00
_symmetry_space_group_name_H-M 'I 4/m m m'
_symmetry_Int_Tables_number 139
_symmetry_space_group_name_Hall '-I 4 2'
loop_
_atom_site_label
_atom_site_fract_x
_atom_site_fract_y
_atom_site_fract_z
Sm1 0.000 0.000 0.167
Ta1 0.000 0.500 0.000
Ge1 0.000 0.000 0.376
C1 0.000 0.000 0.000